# Nd2Si4Pt3Rh, relaxed, DFT PBE
# - total magnetization (μB per formula unit) = 0.00
# - calculated volume (Å³/atom) = 17.78
# - DFT total energy (eV per cell) = -67.85
# - formation energy (no corrections) (kJ per mole of atoms) = -107.59
data_Nd2Si4Pt3Rh
_cell_length_a 4.2230
_cell_length_b 4.2230
_cell_length_c 9.9724
_cell_angle_alpha 90.00
_cell_angle_beta 90.00
_cell_angle_gamma 90.00
_space_group_name_H-M_alt 'P -4 m 2'
_space_group_IT_number 115
loop_
_space_group_symop_operation_xyz
'x,y,z'
'y,-x,-z'
'-x,-y,z'
'-y,x,-z'
'-x,y,z'
'-y,-x,-z'
'x,-y,z'
'y,x,-z'
loop_
_atom_site_label
_atom_site_type_symbol
_atom_site_fract_x
_atom_site_fract_y
_atom_site_fract_z
Nd1 Nd 0.0000 0.5000 0.2450
Si1 Si 0.0000 0.0000 0.0000
Si2 Si 0.0000 0.5000 0.6307
Si3 Si 0.5000 0.5000 0.0000
Pt1 Pt 0.0000 0.5000 0.8769
Pt2 Pt 0.5000 0.5000 0.5000
Rh1 Rh 0.0000 0.0000 0.5000